# Mg5SnPb4, optimized geometry, DFT GGA-PBE
data_Mg5SnPb4
_symmetry_space_group_name_H-M 'P 4/m m m'
_symmetry_Int_Tables_number 123
_symmetry_space_group_name_Hall '-P 4 2'
_cell_length_a 3.5485
_cell_length_b 3.5485
_cell_length_c 20.5554
_cell_angle_alpha 90.00
_cell_angle_beta 90.00
_cell_angle_gamma 90.00
loop_
_atom_site_label
_atom_site_fract_x
_atom_site_fract_y
_atom_site_fract_z
Mg1 0.0000 0.0000 0.0000
Mg2 0.0000 0.0000 0.2020
Mg3 0.0000 0.0000 0.4059
Sn1 0.5000 0.5000 0.5000
Pb1 0.5000 0.5000 0.1006
Pb2 0.5000 0.5000 0.3034
# DFT formation energy = -0.071 eV/atom
# Energy = -27.5 eV/cell
# Total magnetic moment = 0.00 μB/atom
# Fermi-level density of states = 3.9 states/eV/f.u.
# Crystal system = tetragonal

---

# MgSn4Pb2, optimized geometry, DFT GGA-PBE
data_MgSn4Pb2
_symmetry_space_group_name_H-M 'C m m m'
_symmetry_Int_Tables_number 65
_symmetry_space_group_name_Hall '-C 2 2'
_cell_length_a 4.5307
_cell_length_b 22.5147
_cell_length_c 4.5305
_cell_angle_alpha 90.00
_cell_angle_beta 90.00
_cell_angle_gamma 90.00
loop_
_atom_site_label
_atom_site_fract_x
_atom_site_fract_y
_atom_site_fract_z
Mg1 0.0000 0.0000 0.0000
Sn1 0.0000 0.0922 0.5000
Sn2 0.0000 0.4055 0.0000
Pb1 0.0000 0.3071 0.5000
# DFT formation energy = 0.068 eV/atom
# Energy = -49.1 eV/cell
# Total magnetic moment = 0.00 μB/atom
# Fermi-level density of states = 3.4 states/eV/f.u.
# Crystal system = orthorhombic

---

# Mg2Sn3Pb, optimized geometry, DFT GGA-PBE
data_Mg2Sn3Pb
_symmetry_space_group_name_H-M 'P 4/m m m'
_symmetry_Int_Tables_number 123
_symmetry_space_group_name_Hall '-P 4 2'
_cell_length_a 3.4360
_cell_length_b 3.4360
_cell_length_c 13.1879
_cell_angle_alpha 90.00
_cell_angle_beta 90.00
_cell_angle_gamma 90.00
loop_
_atom_site_label
_atom_site_fract_x
_atom_site_fract_y
_atom_site_fract_z
Mg1 0.0000 0.0000 0.1547
Sn1 0.5000 0.5000 0.0000
Sn2 0.5000 0.5000 0.3095
Pb1 0.0000 0.0000 0.5000
# DFT formation energy = -0.062 eV/atom
# Energy = -19.3 eV/cell
# Total magnetic moment = 0.00 μB/atom
# Fermi-level density of states = 3.9 states/eV/f.u.
# Crystal system = tetragonal